(1)
DFT (PBE) results for an optimized crystal structure of TbTm2C.

Unit cell a=3.4858 b=3.4858 c=28.7036 alpha=90.00 beta=90.00 gamma=120.00
Space group R-3m (No. 166, hexagonal axes)
Inequivalent atoms, fractional coordinates:
Tb  0.0000  0.0000  0.0000
Tm  0.0000  0.0000  0.1207
C  0.0000  0.0000  0.5000

Calculated values
Volume ... 25.2 A^3/atom
Magnetization ... 1.1 μB per cell
E ... -69.76 eV per cell
Formation enthalpy at 0 K ... -0.114 eV per atom
E above lowest polymorph ... 103.4 meV/atom

(2)
DFT (PBE) results for an optimized crystal structure of BaNpPa4N8.

Unit cell a=7.1651 b=7.1651 c=16.9044 alpha=90.00 beta=90.00 gamma=120.00
Space group R3m (No. 160, hexagonal axes)
Inequivalent atoms, fractional coordinates:
Ba  0.0000  0.0000  0.0000
Np  0.0000  0.0000  0.6164
Pa  0.0000  0.0000  0.2372
Pa  0.1692  0.3384  0.4497
N  0.0000  0.0000  0.3768
N  0.0000  0.0000  0.8425
N  0.0767  0.5384  0.3724
N  0.1675  0.3349  0.1849

Calculated values
Volume ... 17.9 A^3/atom
Magnetization ... 15.2 μB per cell
Uncorrected formation energy ... -1.38 eV per atom
E ... -416.16 eV per cell

(3)
DFT (PBE) results for an optimized crystal structure of KIrOs.

Unit cell a=5.2725 b=4.1166 c=6.6932 alpha=90.00 beta=100.87 gamma=90.00
Space group Pm (No. 6)
Inequivalent atoms, fractional coordinates:
K  0.0000  0.0000  0.0000
K  0.4751  0.5000  0.8762
Ir  0.1329  0.0000  0.5014
Ir  0.8518  0.5000  0.3769
Os  0.3554  0.5000  0.3748
Os  0.6250  0.0000  0.4890

Calculated values
Volume ... 23.8 A^3/atom
Magnetization ... 0.0 μB per cell
E ... -39.53 eV per cell
Formation enthalpy at 0 K ... 0.475 eV per atom
E above lowest polymorph ... 8.3 meV/atom